Entry 1:
A plane-wave DFT calculation with PBE was carried out for a geometry-optimized YCd structure.

## Properties
For the density of states at the Fermi level, the calculation gives 7.8 states/eV per cell. For the total energy, the calculation gives -3.27 eV per atom.

Lattice parameters (Å, degrees): 5.2568 5.2568 6.1563 90.00 90.00 120.00
Last column: nearest neighbours and their distance in Å.
Space group P6_3/mmc (No. 194)
Unique sites:
Y1 0.3333 0.6667 0.2500 [2 per cell]  5 Cd 3.03-3.08
Cd1 0.3333 0.6667 0.7500 [2 per cell]  5 Y 3.03-3.08

Entry 2:
A plane-wave DFT calculation with PBE was carried out for a geometry-optimized Ac3Ge8Ir3 structure.

## Properties
For the density of states at the Fermi level, the calculation gives 14.8 states/eV per cell. For the total energy, the calculation gives -5.85 eV per atom.

Lattice parameters (Å, degrees): 4.3128 10.6131 13.3982 90.00 90.00 90.00
Last column: nearest neighbours and their distance in Å.
Space group Immm (No. 71)
Unique sites:
Ac1 0.0000 0.0000 0.0000 [2 per cell]  12 Ge 3.30-3.46
Ac2 0.0000 0.0000 0.3157 [4 per cell]  8 Ge 3.22-3.39, 4 Ir 3.28-3.33
Ge1 0.0000 0.2951 0.1104 [8 per cell]  3 Ir 2.62-2.63, 2 Ge 2.80
Ge2 0.0000 0.3646 0.3470 [8 per cell]  1 Ir 2.62, 3 Ge 2.80-2.87
Ir1 0.0000 0.2106 0.5000 [4 per cell]  6 Ge 2.62
Ir2 0.0000 0.5000 0.0000 [2 per cell]  4 Ge 2.63

Entry 3:
A plane-wave DFT calculation with PBE was carried out for a geometry-optimized MnRh2Br structure.

## Properties
For the density of states at the Fermi level, the calculation gives 14.9 states/eV per cell. For the total energy, the calculation gives -6.03 eV per atom. Its formation energy (no corrections) is 0.358 eV/atom. The energy above the most stable polymorph in this dataset comes out at 132 meV/atom.

Lattice parameters (Å, degrees): 3.0790 3.0790 24.2784 90.00 90.00 120.00
Last column: nearest neighbours and their distance in Å.
Space group R3m (No. 160, hexagonal axes)
Unique sites:
Mn1 0.0000 0.0000 0.0000 [3 per cell]  3 Rh 2.57, 3 Br 2.64
Rh1 0.0000 0.0000 0.2571 [3 per cell]  3 Mn 2.57, 3 Rh 2.71
Rh2 0.0000 0.0000 0.5062 [3 per cell]  3 Rh 2.71, 3 Br 2.86
Br1 0.0000 0.0000 0.7472 [3 per cell]  3 Mn 2.64, 3 Rh 2.86

Entry 4:
A plane-wave DFT calculation with PBE was carried out for a geometry-optimized NaZnGaGe structure.

## Properties
For the density of states at the Fermi level, the calculation gives 3.8 states/eV per cell. For the total energy, the calculation gives -2.49 eV per atom.

Lattice parameters (Å, degrees): 6.7693 6.7693 6.7693 90.00 90.00 90.00
Last column: nearest neighbours and their distance in Å.
Space group F-43m (No. 216)
Unique sites:
Na1 0.0000 0.0000 0.0000 [4 per cell]  4 Zn 2.93, 4 Ga 2.93
Zn1 0.2500 0.2500 0.2500 [4 per cell]  4 Ge 2.93, 4 Na 2.93
Ga1 0.2500 0.2500 0.7500 [4 per cell]  4 Ge 2.93, 4 Na 2.93
Ge1 0.0000 0.0000 0.5000 [4 per cell]  4 Zn 2.93, 4 Ga 2.93

Entry 5:
A plane-wave DFT calculation with PBE was carried out for a geometry-optimized Sc2BeV2Ru5 structure.

## Properties
For the density of states at the Fermi level, the calculation gives 13.4 states/eV per cell. For the total energy, the calculation gives -8.33 eV per atom.

Lattice parameters (Å, degrees): 9.9047 9.9047 3.0564 90.00 90.00 90.00
Last column: nearest neighbours and their distance in Å.
Space group P4/mbm (No. 127)
Unique sites:
Sc1 0.1669 0.3331 0.0000 [4 per cell]  3 V 2.73-3.03, 6 Ru 2.79-3.06, 2 Sc 3.06
Be1 0.0000 0.0000 0.0000 [2 per cell]  8 Ru 2.49
V1 0.1379 0.6379 0.0000 [4 per cell]  6 Ru 2.42-2.46
Ru1 0.0000 0.5000 0.5000 [2 per cell]  4 V 2.46
Ru2 0.0662 0.8131 0.5000 [8 per cell]  2 V 2.42, 2 Be 2.49

Entry 6:
A plane-wave DFT calculation with PBE was carried out for a geometry-optimized NdTcP2N6 structure.

## Properties
For the density of states at the Fermi level, the calculation gives 13.6 states/eV per cell. For the total energy, the calculation gives -7.91 eV per atom. Its formation energy (no corrections) is -0.323 eV/atom.

Lattice parameters (Å, degrees): 9.2616 10.3730 4.8874 90.00 97.55 90.00
Last column: nearest neighbours and their distance in Å.
Space group C2/c (No. 15)
Unique sites:
Nd1 0.0000 0.1055 0.2500 [4 per cell]  6 N 2.49-2.58
Tc1 0.0000 0.2836 0.7500 [4 per cell]  2 N 1.87
P1 0.1998 0.4240 0.2748 [8 per cell]  4 N 1.63-1.70
N1 0.0992 0.3137 0.1038 [8 per cell]  1 P 1.63
N2 0.1297 0.1137 0.7295 [8 per cell]  1 P 1.63
N3 0.1671 0.4348 0.6082 [8 per cell]  2 P 1.68-1.70

Entry 7:
A plane-wave DFT calculation with PBE was carried out for a geometry-optimized PSe2IN structure.

## Properties
For the density of states at the Fermi level, the calculation gives 2.5 states/eV per cell. For the total energy, the calculation gives -2.81 eV per atom. Its formation energy (no corrections) is 1.638 eV/atom. The energy above the most stable polymorph in this dataset comes out at 904 meV/atom.

Lattice parameters (Å, degrees): 5.4695 5.4695 3.9008 90.00 90.00 90.00
Last column: nearest neighbours and their distance in Å.
Space group P4/mmm (No. 123)
Unique sites:
P1 0.0000 0.0000 0.0000 [1 per cell]  8 Se 3.36
Se1 0.0000 0.5000 0.5000 [2 per cell]  2 I 2.73
I1 0.5000 0.5000 0.5000 [1 per cell]  2 N 1.95
N1 0.5000 0.5000 0.0000 [1 per cell]  2 I 1.95

Entry 8:
A plane-wave DFT calculation with PBE was carried out for a geometry-optimized Sr3Ag5Hg12 structure.

## Properties
For the density of states at the Fermi level, the calculation gives 59.3 states/eV per cell. For the total energy, the calculation gives -1.12 eV per atom.

Lattice parameters (Å, degrees): 17.4908 17.4908 17.4908 90.00 90.00 90.00
Last column: nearest neighbours and their distance in Å.
Space group Ia-3d (No. 230)
Unique sites:
Sr1 0.0000 0.2500 0.1250 [24 per cell]  4 Hg 3.20
Ag1 0.0000 0.0000 0.0000 [16 per cell]  6 Hg 2.82
Ag2 0.0000 0.2500 0.3750 [24 per cell]  4 Hg 2.75
Hg1 0.0422 0.0724 0.6374 [96 per cell]  2 Ag 2.75-2.82